# LiZnOs2

A geometry-optimized LiZnOs2 structure (PBE, the Alexandria database).

formation energy from the elements: 0.063 eV per atom

Cell: 2.854 2.854 6.610 Å, 90.00 90.00 90.00°
Sites, in units of the cell vectors:
Os: 0.000 0.000 0.996
Li: 0.500 0.500 0.741
Os: 0.500 0.500 0.241
Zn: 0.000 0.000 0.521